## CrO2F2 (PBE with a Hubbard U)

Data for crystalline CrO2F2 at its relaxed geometry.

Computed properties:
Its density of states at the Fermi level is 0.00 states/eV per cell. Its total DFT energy (no corrections) is -5.7082 eV/atom.

Cell: 5.500 6.836 9.531 Å, 87.88 90.00 90.00°
Positions (direct):
O1 0.442 0.946 0.186
O2 0.942 0.054 0.314
O3 0.801 0.788 0.061
O4 0.058 0.946 0.686
O5 0.301 0.212 0.439
O6 0.699 0.788 0.561
O7 0.558 0.054 0.814
O8 0.199 0.212 0.939
Cr1 0.957 0.746 0.630
Cr2 0.457 0.254 0.870
Cr3 0.543 0.746 0.130
Cr4 0.043 0.254 0.370
F1 0.845 0.332 0.499
F2 0.427 0.422 0.731
F3 0.155 0.668 0.501
F4 0.927 0.578 0.769
F5 0.655 0.332 0.999
F6 0.073 0.422 0.231
F7 0.345 0.668 0.001
F8 0.573 0.578 0.269